(1)
ZnSb2Cl | PBE-GGA | optimized geometry

Geometry as extended XYZ:
```
4
Lattice="2.158 -2.708 0.000 2.158 2.708 0.000 0.000 0.000 8.153" Properties=species:S:1:pos:R:3 pbc="T T T"
Zn 0.000 0.000 0.000
Sb 2.158 0.000 1.754
Sb 2.158 0.000 6.398
Cl 0.000 0.000 4.076
```

Computed properties:
As for the crystal system: orthorhombic. The space group is Cmmm (65). As for the relative energy among the computed polymorphs: 0.203 eV per atom.

***

(2)
ZnSb2Cl | PBE-GGA | optimized geometry

Geometry as extended XYZ:
```
4
Lattice="1.873 -2.955 0.000 1.873 2.955 0.000 0.000 0.000 9.640" Properties=species:S:1:pos:R:3 pbc="T T T"
Zn 0.000 0.000 0.000
Sb 0.000 0.000 4.461
Sb 1.873 0.000 2.144
Cl 1.873 0.000 8.121
```

Computed properties:
As for the crystal system: orthorhombic. The space group is Cmm2 (35). As for the relative energy among the computed polymorphs: 0.115 eV per atom.

***

(3)
ZnSbCl6 | PBE-GGA | optimized geometry

Geometry as extended XYZ:
```
8
Lattice="3.213 1.855 5.755 -3.213 1.855 5.755 0.000 -3.710 5.755" Properties=species:S:1:pos:R:3 pbc="T T T"
Zn 0.000 0.000 0.000
Sb 0.000 0.000 8.632
Cl -2.089 0.129 7.160
Cl -1.156 -1.745 10.104
Cl 0.933 -1.874 7.160
Cl -0.933 1.874 10.104
Cl 1.156 1.745 7.160
Cl 2.089 -0.129 10.104
```

Computed properties:
As for the crystal system: trigonal. The space group is R-3 (148). Its energy is -2.807 eV/atom.

***

(4)
ZnSb2Cl | PBE-GGA | optimized geometry

Geometry as extended XYZ:
```
8
Lattice="-2.208 2.208 10.922 2.208 -2.208 10.922 2.208 2.208 -10.922" Properties=species:S:1:pos:R:3 pbc="T T T"
Zn 0.000 0.000 0.000
Zn 0.000 2.208 5.461
Sb 3.313 0.924 -2.731
Sb 0.924 1.104 2.731
Sb -1.104 1.284 8.192
Sb 1.284 1.104 13.653
Cl 2.208 0.000 5.461
Cl 0.000 0.000 10.922
```

Computed properties:
As for the crystal system: tetragonal. The space group is I-42d (122). As for the relative energy among the computed polymorphs: 0.229 eV per atom.

***

(5)
ZnSbCl | PBE-GGA | optimized geometry

Geometry as extended XYZ:
```
6
Lattice="5.269 0.000 0.000 0.179 6.192 0.000 0.118 1.605 6.082" Properties=species:S:1:pos:R:3 pbc="T T T"
Zn 0.000 0.000 0.000
Zn 2.451 4.150 1.640
Sb 5.068 3.765 0.915
Sb 5.137 3.781 4.592
Cl 2.264 6.525 1.359
Cl 2.442 3.979 4.150
```

Computed properties:
As for the crystal system: triclinic. The space group is P1 (1). As for the relative energy among the computed polymorphs: 0.031 eV per atom.

***

(6)
ZrSbCl4 | PBE-GGA | optimized geometry

Geometry as extended XYZ:
```
6
Lattice="0.000 4.040 4.040 4.040 0.000 4.040 4.040 4.040 0.000" Properties=species:S:1:pos:R:3 pbc="T T T"
Zr 0.000 0.000 0.000
Sb 2.020 2.020 2.020
Cl 5.057 3.024 3.024
Cl 3.024 5.057 3.024
Cl 3.024 3.024 5.057
Cl 5.057 5.057 5.057
```

Computed properties:
As for the crystal system: cubic. The space group is F-43m (216). Its energy is -3.032 eV/atom.

***

(7)
ZrSbCl3 | PBE-GGA | optimized geometry

Geometry as extended XYZ:
```
5
Lattice="5.157 0.000 0.000 0.000 5.157 0.000 0.000 0.000 5.157" Properties=species:S:1:pos:R:3 pbc="T T T"
Zr 0.000 0.000 0.000
Sb 2.579 2.579 2.579
Cl 0.000 0.000 2.579
Cl 0.000 2.579 0.000
Cl 2.579 0.000 0.000
```

Computed properties:
As for the crystal system: cubic. The space group is Pm-3m (221). As for the relative energy among the computed polymorphs: 0.000 eV per atom.

***

(8)
Zr2Sb2Cl | PBE-GGA | optimized geometry

Geometry as extended XYZ:
```
5
Lattice="-2.571 2.571 5.520 2.571 -2.571 5.520 2.571 2.571 -5.520" Properties=species:S:1:pos:R:3 pbc="T T T"
Zr 2.571 0.000 2.760
Zr 0.000 2.571 2.760
Sb 0.000 0.000 1.505
Sb 0.000 0.000 9.534
Cl 0.000 0.000 5.520
```

Computed properties:
As for the crystal system: tetragonal. The space group is I4/mmm (139). As for the relative energy among the computed polymorphs: 0.459 eV per atom.